# GGA-PBE NaLiIn3, optimized geometry
# Formation enthalpy at 0 K in eV/f.u.: -0.6
# Total moment in μB per formula unit: 0.00
# DOS(E_F) in states/eV/cell: 8.27
# V in Å³ per cell: 502.44
# ΔE to the lowest computed polymorph in meV/atom: 14
data_NaLiIn3
_chemical_formula_sum 'Na4 Li4 In12'
_space_group_name_H-M_alt 'P n m a'
_space_group_IT_number 62
_cell_length_a 9.504
_cell_length_b 4.120
_cell_length_c 12.832
_cell_angle_alpha 90.00
_cell_angle_beta 90.00
_cell_angle_gamma 90.00
loop_
_space_group_symop_operation_xyz
'x,y,z'
'-x,-y,-z'
'-x+1/2,-y,z+1/2'
'x+1/2,y,-z+1/2'
'x+1/2,-y+1/2,-z+1/2'
'-x+1/2,y+1/2,z+1/2'
'-x,y+1/2,-z'
'x,-y+1/2,z'
loop_
_atom_site_label
_atom_site_type_symbol
_atom_site_fract_x
_atom_site_fract_y
_atom_site_fract_z
Na1 Na 0.164 0.250 0.000
Li1 Li 0.145 0.250 0.372
In1 In 0.057 0.250 0.587
In2 In 0.080 0.750 0.791
In3 In 0.170 0.750 0.212